Density functional theory data (PBE) for a relaxed structure of KCrPbC2. Values from VASP.

Geometry as Quantum ESPRESSO input:
```
&SYSTEM
  ibrav = 0, nat = 5, ntyp = 4
/
ATOMIC_SPECIES
K 39.10 K.upf
Cr 52.00 Cr.upf
Pb 207.20 Pb.upf
C 12.01 C.upf
CELL_PARAMETERS angstrom
4.681 0.000 0.000
0.000 4.681 0.000
0.000 0.000 6.105
ATOMIC_POSITIONS crystal
K 0.000 0.000 0.000
Cr 0.500 0.500 0.000
Pb 0.000 0.000 0.500
C 0.000 0.500 0.500
C 0.500 0.000 0.500
```

Spin magnetization: 0.9204 μB per atom
Space group: No. 123
DFT total energy: -3.8444 eV per atom
ΔE_f: 2.7310 eV/atom
Density of states at the Fermi level: 0.561 states/eV/atom